Record 1
# BaZr2NbPb meta-GGA SCAN PBEsol geometry
# DOS at the Fermi energy, states/eV per cell: 6.564
# Formation energy, meV per atom: 981
data_BaZr2NbPb
_cell_length_a 5.495
_cell_length_b 5.495
_cell_length_c 5.328
_cell_angle_alpha 90.00
_cell_angle_beta 90.00
_cell_angle_gamma 90.00
_symmetry_space_group_name_H-M 'P 4/m m m'
_symmetry_Int_Tables_number 123
_symmetry_space_group_name_Hall '-P 4 2'
loop_
_atom_site_label
_atom_site_type_symbol
_atom_site_fract_x
_atom_site_fract_y
_atom_site_fract_z
Ba1 Ba 0.000 0.000 0.000
Zr1 Zr 0.000 0.500 0.500
Nb1 Nb 0.500 0.500 0.000
Pb1 Pb 0.500 0.500 0.500


Record 2
# RbBaNb2 meta-GGA SCAN PBEsol geometry
# DOS at the Fermi energy, states/eV per cell: 18.345
# Formation energy, meV per atom: 2194
data_RbBaNb2
_cell_length_a 7.449
_cell_length_b 7.449
_cell_length_c 7.449
_cell_angle_alpha 90.00
_cell_angle_beta 90.00
_cell_angle_gamma 90.00
_symmetry_space_group_name_H-M 'F m -3 m'
_symmetry_Int_Tables_number 225
_symmetry_space_group_name_Hall '-F 4 2 3'
loop_
_atom_site_label
_atom_site_type_symbol
_atom_site_fract_x
_atom_site_fract_y
_atom_site_fract_z
Rb1 Rb 0.000 0.000 0.000
Ba1 Ba 0.000 0.000 0.500
Nb1 Nb 0.250 0.250 0.250


Record 3
# Rb2BaNb2Se11 meta-GGA SCAN PBEsol geometry
# Formation energy without anion corrections, eV per atom: -1.0252
data_Rb2BaNb2Se11
_cell_length_a 7.799
_cell_length_b 13.803
_cell_length_c 16.876
_cell_angle_alpha 90.00
_cell_angle_beta 96.82
_cell_angle_gamma 90.00
_symmetry_space_group_name_H-M 'P 1 21/c 1'
_symmetry_Int_Tables_number 14
loop_
_symmetry_equiv_pos_as_xyz
'x,y,z'
'-x,-y,-z'
'-x,y+1/2,-z+1/2'
'x,-y+1/2,z+1/2'
loop_
_atom_site_label
_atom_site_type_symbol
_atom_site_fract_x
_atom_site_fract_y
_atom_site_fract_z
Rb1 Rb 0.204 0.118 0.230
Rb2 Rb 0.235 0.042 0.914
Ba1 Ba 0.251 0.124 0.531
Nb1 Nb 0.220 0.719 0.894
Nb2 Nb 0.358 0.671 0.697
Se1 Se 0.005 0.689 0.450
Se2 Se 0.053 0.677 0.748
Se3 Se 0.096 0.544 0.894
Se4 Se 0.122 0.702 0.152
Se5 Se 0.292 0.552 0.599
Se6 Se 0.335 0.134 0.732
Se7 Se 0.336 0.622 0.025
Se8 Se 0.353 0.660 0.300
Se9 Se 0.419 0.571 0.828
Se10 Se 0.455 0.218 0.387
Se11 Se 0.495 0.684 0.435


Record 4
# BaNb2ReS meta-GGA SCAN PBEsol geometry
# Formation energy without anion corrections, eV per atom: 0.6926
# DOS at the Fermi energy, states/eV per cell: 5.521
data_BaNb2ReS
_cell_length_a 4.759
_cell_length_b 4.759
_cell_length_c 4.520
_cell_angle_alpha 90.00
_cell_angle_beta 90.00
_cell_angle_gamma 90.00
_symmetry_space_group_name_H-M 'P 4/m m m'
_symmetry_Int_Tables_number 123
_symmetry_space_group_name_Hall '-P 4 2'
loop_
_atom_site_label
_atom_site_type_symbol
_atom_site_fract_x
_atom_site_fract_y
_atom_site_fract_z
Ba1 Ba 0.000 0.000 0.000
Nb1 Nb 0.000 0.500 0.500
Re1 Re 0.500 0.500 0.000
S1 S 0.500 0.500 0.500


Record 5
# Ba2YNbRe meta-GGA SCAN PBEsol geometry
# DOS at the Fermi energy, states/eV per cell: 4.372
# Formation energy, meV per atom: 1810
data_Ba2YNbRe
_cell_length_a 5.731
_cell_length_b 5.731
_cell_length_c 5.277
_cell_angle_alpha 90.00
_cell_angle_beta 90.00
_cell_angle_gamma 90.00
_symmetry_space_group_name_H-M 'P 4/m m m'
_symmetry_Int_Tables_number 123
_symmetry_space_group_name_Hall '-P 4 2'
loop_
_atom_site_label
_atom_site_type_symbol
_atom_site_fract_x
_atom_site_fract_y
_atom_site_fract_z
Ba1 Ba 0.000 0.500 0.000
Y1 Y 0.000 0.000 0.500
Nb1 Nb 0.000 0.000 0.000
Re1 Re 0.500 0.500 0.500


Record 6
# BaNbRh3 meta-GGA SCAN PBEsol geometry
# DOS at the Fermi energy, states/eV per cell: 3.007
# Formation energy, meV per atom: 2078
data_BaNbRh3
_cell_length_a 4.869
_cell_length_b 4.869
_cell_length_c 4.869
_cell_angle_alpha 90.00
_cell_angle_beta 90.00
_cell_angle_gamma 90.00
_symmetry_space_group_name_H-M 'P m -3 m'
_symmetry_Int_Tables_number 221
_symmetry_space_group_name_Hall '-P 4 2 3'
loop_
_atom_site_label
_atom_site_type_symbol
_atom_site_fract_x
_atom_site_fract_y
_atom_site_fract_z
Ba1 Ba 0.000 0.000 0.000
Nb1 Nb 0.500 0.500 0.500
Rh1 Rh 0.000 0.000 0.500